Density functional theory data (PBE+U) for TaNiNF2 after structural relaxation.

The space group is P4/mmm (No. 123) and the conventional cell measures 3.3719, 3.3719 and 6.8496 Å, with angles of 90.00, 90.00 and 90.00 degrees. The distinct sites, in fractional coordinates, are Ta at (0.0000, 0.0000, 0.0000), Ni at (0.5000, 0.5000, 0.5000), N at (0.5000, 0.5000, 0.0000) and F at (0.0000, 0.5000, 0.5000).

Its calculated density is 6.2 g/cm3. For the polymorph energy (0 for the lowest one), the calculation gives 3.49 eV/f.u.